Version i
First-principles (PBEsol) data for an optimized crystal structure of RbBi3Os, as listed in Alexandria.

Summary:
Spin magnetization (μB per formula unit): 0.0
Space group: Pm-3m
Calculated density (Mg/m³): 9.5

a b c (Å): 5.4118 5.4118 5.4118
angles (deg): 90.00 90.00 90.00
Closest atoms and distances in Å follow each position.
Fractional coordinates of all 5 atoms:
Os 0.0000 0.0000 0.0000  6 Bi 2.71
Rb 0.5000 0.5000 0.5000  12 Bi 3.83
Bi 0.0000 0.0000 0.5000  2 Os 2.71
Bi 0.0000 0.5000 0.0000  2 Os 2.71
Bi 0.5000 0.0000 0.0000  2 Os 2.71

Version ii
First-principles (PBEsol) data for an optimized crystal structure of RbBi3Os, as listed in Alexandria.

Summary:
Spin magnetization (μB per formula unit): 3.6
Space group: Pm-3m
Calculated density (Mg/m³): 7.7

a b c (Å): 5.7925 5.7925 5.7925
angles (deg): 90.00 90.00 90.00
Closest atoms and distances in Å follow each position.
Fractional coordinates of all 5 atoms:
Bi 0.0000 0.0000 0.5000  2 Rb 2.90
Bi 0.0000 0.5000 0.0000  2 Rb 2.90
Rb 0.0000 0.0000 0.0000  6 Bi 2.90
Os 0.5000 0.5000 0.5000  12 Bi 4.10
Bi 0.5000 0.0000 0.0000  2 Rb 2.90

Which structure loses on stability? version ii does.

Version i
First-principles (PBEsol) data for an optimized crystal structure of Si2BiPb, as listed in Alexandria.

Summary:
Spin magnetization (μB per formula unit): 0.0
Space group: Fm-3m
Calculated density (Mg/m³): 8.6

a b c (Å): 5.0532 5.0532 5.0532
angles (deg): 60.00 60.00 60.00
Closest atoms and distances in Å follow each position.
Fractional coordinates of all 4 atoms:
Si 0.7500 0.7500 0.7500  4 Pb 3.09, 4 Bi 3.09
Si 0.2500 0.2500 0.2500  4 Pb 3.09, 4 Bi 3.09
Bi 0.5000 0.5000 0.5000  8 Si 3.09
Pb 0.0000 0.0000 0.0000  8 Si 3.09

Version ii
First-principles (PBEsol) data for an optimized crystal structure of Si2BiPb, as listed in Alexandria.

Summary:
Spin magnetization (μB per formula unit): 0.0
Space group: I-42d
Calculated density (Mg/m³): 6.2

a b c (Å): 6.2727 6.2727 7.7695
angles (deg): 113.81 113.81 90.00
Closest atoms and distances in Å follow each position.
Fractional coordinates of all 8 atoms:
Si 0.1250 0.1337 0.7500  2 Pb 2.70, 2 Bi 2.76
Bi 0.0000 0.0000 0.0000  4 Si 2.76
Si 0.8663 0.3750 0.2500  2 Pb 2.70, 2 Bi 2.76
Si 0.6250 0.6163 0.7500  2 Pb 2.70, 2 Bi 2.76
Si 0.3837 0.8750 0.2500  2 Pb 2.70, 2 Bi 2.76
Bi 0.2500 0.7500 0.5000  4 Si 2.76
Pb 0.7500 0.2500 0.5000  4 Si 2.70
Pb 0.5000 0.5000 0.0000  4 Si 2.70

Which structure loses on stability? version ii does.

Version i
First-principles (PBEsol) data for an optimized crystal structure of Rb2BiSb2, as listed in Alexandria.

Summary:
Spin magnetization (μB per formula unit): 0.0
Space group: I4/mmm
Calculated density (Mg/m³): 5.7

a b c (Å): 4.8994 4.8994 8.3388
angles (deg): 107.08 107.08 90.00
Closest atoms and distances in Å follow each position.
Fractional coordinates of all 5 atoms:
Rb 0.2500 0.7500 0.5000  4 Rb 3.46, 4 Sb 3.47
Rb 0.7500 0.2500 0.5000  4 Rb 3.46, 4 Sb 3.47
Sb 0.4119 0.4119 0.8237  1 Sb 2.67
Sb 0.5881 0.5881 0.1763  1 Sb 2.67
Bi 0.0000 0.0000 0.0000  8 Sb 3.71

Version ii
First-principles (PBEsol) data for an optimized crystal structure of Rb2BiSb2, as listed in Alexandria.

Summary:
Spin magnetization (μB per formula unit): 0.0
Space group: P4/mbm
Calculated density (Mg/m³): 5.6

a b c (Å): 5.7099 8.0668 8.0668
angles (deg): 90.00 90.00 90.00
Closest atoms and distances in Å follow each position.
Fractional coordinates of all 10 atoms:
Sb 0.0000 0.8763 0.6237  1 Sb 2.82
Rb 0.5000 0.8226 0.3226  6 Sb 3.65-3.77, 1 Rb 4.05
Bi 0.0000 0.5000 0.5000  4 Sb 3.20
Bi 0.0000 0.0000 0.0000  4 Sb 3.20
Rb 0.5000 0.1774 0.6774  6 Sb 3.65-3.77, 1 Rb 4.05
Sb 0.0000 0.6237 0.1237  1 Sb 2.82
Rb 0.5000 0.6774 0.8226  6 Sb 3.65-3.77, 1 Rb 4.05
Sb 0.0000 0.3763 0.8763  1 Sb 2.82
Rb 0.5000 0.3226 0.1774  6 Sb 3.65-3.77, 1 Rb 4.05
Sb 0.0000 0.1237 0.3763  1 Sb 2.82

Which structure loses on stability? version i does.

Version i
First-principles (PBEsol) data for an optimized crystal structure of SrBiRu3, as listed in Alexandria.

Summary:
Spin magnetization (μB per formula unit): 2.8
Space group: Pm-3m
Calculated density (Mg/m³): 8.1

a b c (Å): 4.9813 4.9813 4.9813
angles (deg): 90.00 90.00 90.00
Closest atoms and distances in Å follow each position.
Fractional coordinates of all 5 atoms:
Ru 0.0000 0.5000 0.0000  2 Bi 2.49
Sr 0.5000 0.5000 0.5000  12 Ru 3.52
Ru 0.0000 0.0000 0.5000  2 Bi 2.49
Bi 0.0000 0.0000 0.0000  6 Ru 2.49
Ru 0.5000 0.0000 0.0000  2 Bi 2.49

Version ii
First-principles (PBEsol) data for an optimized crystal structure of SrBiRu3, as listed in Alexandria.

Summary:
Spin magnetization (μB per formula unit): 0.0
Space group: Pm-3m
Calculated density (Mg/m³): 9.1

a b c (Å): 4.7849 4.7849 4.7849
angles (deg): 90.00 90.00 90.00
Closest atoms and distances in Å follow each position.
Fractional coordinates of all 5 atoms:
Ru 0.0000 0.5000 0.0000  2 Sr 2.39
Sr 0.0000 0.0000 0.0000  6 Ru 2.39
Bi 0.5000 0.5000 0.5000  12 Ru 3.38
Ru 0.5000 0.0000 0.0000  2 Sr 2.39
Ru 0.0000 0.0000 0.5000  2 Sr 2.39

Which structure loses on stability? version ii does.

Version i
First-principles (PBEsol) data for an optimized crystal structure of BiSeS2, as listed in Alexandria.

Summary:
Spin magnetization (μB per formula unit): 0.0
Space group: I-42d
Calculated density (Mg/m³): 6.6

a b c (Å): 6.1387 6.1387 6.1387
angles (deg): 107.04 107.04 114.45
Closest atoms and distances in Å follow each position.
Fractional coordinates of all 8 atoms:
Bi 0.0000 0.0000 0.0000  4 S 2.79
Se 0.7500 0.2500 0.5000  4 S 2.64
S 0.1250 0.6097 0.9847  2 Se 2.64, 2 Bi 2.79
S 0.8597 0.8750 0.4847  2 Se 2.64, 2 Bi 2.79
Se 0.5000 0.5000 0.0000  4 S 2.64
S 0.3903 0.3750 0.5153  2 Se 2.64, 2 Bi 2.79
Bi 0.2500 0.7500 0.5000  4 S 2.79
S 0.6250 0.1403 0.0153  2 Se 2.64, 2 Bi 2.79

Version ii
First-principles (PBEsol) data for an optimized crystal structure of BiSeS2, as listed in Alexandria.

Summary:
Spin magnetization (μB per formula unit): 0.0
Space group: R-3m
Calculated density (Mg/m³): 6.1

a b c (Å): 3.5939 3.5939 8.8762
angles (deg): 78.32 78.32 60.00
Closest atoms and distances in Å follow each position.
Fractional coordinates of all 4 atoms:
S 0.8916 0.8916 0.3251  3 Se 2.57, 1 Bi 2.81
Se 0.5000 0.5000 0.5000  6 S 2.57
S 0.1084 0.1084 0.6749  3 Se 2.57, 1 Bi 2.81
Bi 0.0000 0.0000 0.0000  2 S 2.81

Which structure loses on stability? version ii does.

Version i
First-principles (PBEsol) data for an optimized crystal structure of Bi2Te2S, as listed in Alexandria.

Summary:
Spin magnetization (μB per formula unit): 0.0
Space group: R3m
Calculated density (Mg/m³): 7.7

a b c (Å): 4.2553 4.2553 10.0359
angles (deg): 77.76 77.76 60.00
Closest atoms and distances in Å follow each position.
Fractional coordinates of all 5 atoms:
Te 0.7961 0.7961 0.6117  3 Bi 3.03
S 0.2139 0.2139 0.3584  3 Bi 2.79
Bi 0.5926 0.5926 0.2223  3 S 2.79
Te 0.9953 0.9953 0.0140  6 Bi 3.18-3.26
Bi 0.4021 0.4021 0.7936  6 Te 3.03-3.26

Version ii
First-principles (PBEsol) data for an optimized crystal structure of Bi2Te2S, as listed in Alexandria.

Summary:
Spin magnetization (μB per formula unit): 0.0
Space group: R-3m
Calculated density (Mg/m³): 7.7

a b c (Å): 4.2374 4.2374 10.1355
angles (deg): 77.93 77.93 60.00
Closest atoms and distances in Å follow each position.
Fractional coordinates of all 5 atoms:
Bi 0.6090 0.6090 0.1731  3 S 2.98, 3 Te 3.03
S 0.0000 0.0000 0.0000  6 Bi 2.98
Te 0.7851 0.7851 0.6448  3 Bi 3.03
Bi 0.3910 0.3910 0.8269  3 S 2.98, 3 Te 3.03
Te 0.2149 0.2149 0.3552  3 Bi 3.03

Version iii
First-principles (PBEsol) data for an optimized crystal structure of Bi2Te2S, as listed in Alexandria.

Summary:
Spin magnetization (μB per formula unit): 0.0
Space group: C2/m
Calculated density (Mg/m³): 6.8

a b c (Å): 4.3717 4.3695 9.5498
angles (deg): 103.08 103.23 90.00
Closest atoms and distances in Å follow each position.
Fractional coordinates of all 5 atoms:
Bi 0.8608 0.8632 0.7215  1 S 2.52
S 0.0000 0.0000 0.0000  2 Bi 2.52
Te 0.6754 0.6742 0.3508  5 Bi 3.15-3.35
Bi 0.1392 0.1368 0.2785  1 S 2.52
Te 0.3246 0.3258 0.6492  5 Bi 3.15-3.35

Which structure loses on stability? version iii does.